{
  "formula": "BPbF3",
  "functional": "PBE",
  "state": "relaxed",
  "cell": [[4.103, 0.000, 0.000], [0.000, 4.103, 0.000], [0.000, 0.000, 4.103]],
  "species": ["B", "Pb", "F", "F", "F"],
  "frac_coords": [[0.000, 0.000, 0.000], [0.500, 0.500, 0.500], [0.000, 0.000, 0.500], [0.000, 0.500, 0.000], [0.500, 0.000, 0.000]],
  "e_form_raw_mev_per_atom": -937.2,
  "energy_ev_per_fu": -20.7
}